This record from the Alexandria database describes a crystal of Li2AlTeRh relaxed with PBEsol. The functional is SCAN.

Calculated values
E (eV per atom): -16.51
E_form (uncorrected) (eV/atom): 0.2040
DOS(E_F) (states/eV/cell): 2.8

a = 4.851 Å, b = 4.851 Å, c = 4.904 Å
α = 90.00°, β = 90.00°, γ = 90.00°
Atoms (fractional coordinates):
Li 0.000 0.500 0.000
Al 0.500 0.500 0.500
Rh 0.000 0.000 0.500
Li 0.500 0.000 0.000
Te 0.000 0.000 0.000